(1)
Density functional theory data (PBE) for a relaxed InP3Ru crystal.

Values from the calculation:
**Energy**: -0.379 Ry per atom
**Magnetic moment**: 0.0 μB per formula unit

Cell lengths 4.651, 4.651, 4.651 Å; angles 90.00, 90.00, 90.00 degrees
Element x y z (fractional)
Ru: 0.000 0.000 0.000
P: 0.000 0.500 0.000
P: 0.000 0.000 0.500
P: 0.500 0.000 0.000
In: 0.500 0.500 0.500

(2)
Density functional theory data (PBE) for a relaxed InPRu crystal.

Values from the calculation:
**Energy**: -0.446 Ry per atom
**Magnetic moment**: 0.0 μB per formula unit

Cell lengths 5.805, 3.056, 11.848 Å; angles 90.00, 92.68, 90.00 degrees
Element x y z (fractional)
In: 0.199 0.000 0.370
In: 0.199 0.500 0.870
In: 0.326 0.000 0.629
In: 0.326 0.500 0.129
P: 0.861 0.000 0.515
P: 0.861 0.500 0.015
P: 0.696 0.000 0.784
P: 0.696 0.500 0.284
Ru: 0.905 0.000 0.179
Ru: 0.905 0.500 0.679
Ru: 0.576 0.000 0.966
Ru: 0.576 0.500 0.466

(3)
Density functional theory data (PBE) for a relaxed InPRu2 crystal.

Values from the calculation:
**Energy**: -0.463 Ry per atom
**Magnetic moment**: 0.0 μB per formula unit

Cell lengths 5.055, 5.055, 2.985 Å; angles 73.98, 73.98, 108.72 degrees
Element x y z (fractional)
In: 0.500 0.500 0.500
P: 0.000 0.000 0.500
Ru: 0.500 0.000 0.000
Ru: 0.000 0.500 0.000